Version w
Density functional theory data (PBE) for MgTa2Br after structural relaxation.

Unit cell a=5.8399 b=5.8399 c=5.8399 alpha=149.05 beta=127.07 gamma=62.59
Fractional coordinates of all 4 atoms:
Mg 0.0000 0.0000 0.0000
Ta 0.4995 0.4995 0.0000
Ta 0.7234 0.2234 0.5000
Br 0.2755 0.7755 0.5000

Summary:
**Crystal system**: orthorhombic
**SG**: Imm2, No. 44

Version x
Density functional theory data (PBE) for MgTa2Br after structural relaxation.

Unit cell a=3.0308 b=3.0308 c=8.1367 alpha=90.00 beta=90.00 gamma=90.00
Fractional coordinates of all 4 atoms:
Mg 0.0000 0.0000 0.0000
Ta 0.5000 0.5000 0.2656
Ta 0.5000 0.5000 0.7344
Br 0.0000 0.0000 0.5000

Summary:
**Crystal system**: tetragonal
**SG**: P4/mmm, No. 123

Version y
Density functional theory data (PBE) for MgTa2Br after structural relaxation.

Unit cell a=3.4905 b=3.4905 c=7.9203 alpha=90.00 beta=90.00 gamma=90.00
Fractional coordinates of all 4 atoms:
Mg 0.0000 0.0000 0.0000
Ta 0.0000 0.0000 0.3631
Ta 0.5000 0.5000 0.2209
Br 0.5000 0.5000 0.8209

Summary:
**Crystal system**: tetragonal
**SG**: P4mm, No. 99

Version z
Density functional theory data (PBE) for MgTa2Br after structural relaxation.

Unit cell a=3.0243 b=3.0243 c=9.8030 alpha=90.00 beta=90.00 gamma=118.30
Fractional coordinates of all 4 atoms:
Mg 0.0000 0.0000 0.0000
Ta 0.5000 0.5000 0.2593
Ta 0.5000 0.5000 0.7407
Br 0.0000 0.0000 0.5000

Summary:
**Crystal system**: orthorhombic
**SG**: Cmmm, No. 65

Stability verdict: version y, ahead by 0.340 eV/atom